(1)
{
  "formula": "BC",
  "functional": "GGA-PBE",
  "state": "relaxed",
  "cell": [[-2.0154, -1.2488, -1.0839], [2.0121, -3.3087, 0.0706], [-3.0645, -1.7904, 7.7614]],
  "species": ["B", "C", "B", "B", "B", "B", "C", "B", "C", "C", "C", "C"],
  "frac_coords": [[0.0000, 0.9341, 0.3797], [0.0000, 0.2333, 0.8121], [0.5000, 0.4973, 0.5061], [0.0000, 0.0431, 0.9774], [0.5000, 0.7855, 0.0500], [0.0000, 0.3416, 0.1324], [0.5000, 0.7588, 0.6636], [0.5000, 0.4550, 0.7805], [0.5000, 0.5158, 0.1895], [0.0000, 0.9874, 0.6618], [0.0000, 0.2112, 0.5101], [0.5000, 0.7369, 0.3368]],
  "ef_mev_per_atom": 378,
  "polymorph_energy_mev_per_atom": 227,
  "n_ef_per_ev_cell": 2.98,
  "sg": "Pm"
}


(2)
{
  "formula": "BC",
  "functional": "GGA-PBE",
  "state": "relaxed",
  "cell": [[4.2585, 0.0031, -1.7646], [3.4087, 2.5526, -1.7646], [0.5416, 0.1805, 8.2174]],
  "species": ["C", "B", "B", "B", "C", "B", "C", "C", "B", "C", "B", "C"],
  "frac_coords": [[0.9985, 0.9985, 0.5080], [0.2350, 0.2350, 0.2849], [0.9496, 0.9496, 0.9298], [0.5167, 0.5167, 0.3838], [0.8348, 0.8348, 0.5337], [0.3166, 0.3166, 0.6579], [0.1398, 0.1398, 0.6791], [0.6935, 0.6935, 0.3626], [0.5983, 0.5983, 0.7568], [0.3620, 0.3620, 0.1903], [0.8837, 0.8837, 0.1119], [0.4713, 0.4713, 0.8514]],
  "ef_mev_per_atom": 294,
  "polymorph_energy_mev_per_atom": 143,
  "n_ef_per_ev_cell": 1.17,
  "sg": "C2/m"
}


(3)
{
  "formula": "B7C5",
  "functional": "GGA-PBE",
  "state": "relaxed",
  "cell": [[2.5387, 0.0000, 0.0000], [0.0000, 2.4046, 0.0000], [0.0000, 0.0000, 13.3953]],
  "species": ["B", "B", "C", "B", "C", "B", "B", "C", "C", "C", "B", "B"],
  "frac_coords": [[0.5000, 0.0000, 0.2636], [0.5000, 0.5000, 0.1606], [0.0000, 0.0000, 0.3350], [0.0000, 0.5000, 0.7420], [0.5000, 0.5000, 0.5003], [0.5000, 0.0000, 0.9395], [0.0000, 0.5000, 0.4184], [0.0000, 0.0000, 0.0176], [0.5000, 0.0000, 0.5635], [0.0000, 0.5000, 0.0807], [0.0000, 0.0000, 0.6407], [0.5000, 0.5000, 0.8382]],
  "ef_mev_per_atom": 369,
  "polymorph_energy_mev_per_atom": 205,
  "n_ef_per_ev_cell": 2.63,
  "sg": "Pmm2"
}


(4)
{
  "formula": "B7C5",
  "functional": "GGA-PBE",
  "state": "relaxed",
  "cell": [[-0.5592, 2.1773, -1.4235], [-0.1897, -2.4064, -1.1194], [-14.5520, -0.8833, 4.3654]],
  "species": ["C", "C", "C", "B", "B", "B", "C", "B", "B", "B", "B", "C"],
  "frac_coords": [[0.3333, 0.6667, 0.9871], [0.3333, 0.6667, 0.6415], [0.3333, 0.6667, 0.5494], [0.6667, 0.3333, 0.3539], [0.0000, 0.0000, 0.8699], [0.6667, 0.3333, 0.7999], [0.6667, 0.3333, 0.2433], [0.0000, 0.0000, 0.9845], [0.0000, 0.0000, 0.5009], [0.6667, 0.3333, 0.6888], [0.3333, 0.6667, 0.2322], [0.0000, 0.0000, 0.3985]],
  "ef_mev_per_atom": 454,
  "polymorph_energy_mev_per_atom": 289,
  "n_ef_per_ev_cell": 2.76,
  "sg": "P3m1"
}


(5)
{
  "formula": "B7C5",
  "functional": "GGA-PBE",
  "state": "relaxed",
  "cell": [[-1.6711, 1.0073, 3.8620], [-3.4742, -1.5737, 2.6001], [3.9320, -3.3479, 2.2288]],
  "species": ["B", "B", "B", "B", "B", "B", "C", "C", "C", "C", "B", "C"],
  "frac_coords": [[0.9992, 0.0237, 0.5187], [0.3140, 0.3274, 0.1768], [0.4109, 0.3380, 0.6931], [0.6456, 0.6353, 0.3008], [0.9770, 0.0075, 0.0176], [0.5799, 0.0349, 0.4316], [0.5687, 0.0738, 0.9097], [0.2033, 0.7452, 0.2484], [0.9096, 0.3996, 0.0438], [0.2863, 0.7578, 0.7482], [0.9295, 0.4700, 0.5679], [0.6762, 0.6868, 0.8435]],
  "ef_mev_per_atom": 411,
  "polymorph_energy_mev_per_atom": 247,
  "n_ef_per_ev_cell": 0.76,
  "sg": "P1"
}


(6)
{
  "formula": "BC",
  "functional": "GGA-PBE",
  "state": "relaxed",
  "cell": [[2.7107, 0.0000, 0.0000], [0.0000, 3.8540, 0.0000], [0.0000, 0.0000, 5.2489]],
  "species": ["C", "B", "C", "C", "C", "B", "B", "B"],
  "frac_coords": [[0.5000, 0.7483, 0.0121], [0.5000, 0.5071, 0.7500], [0.5000, 0.5211, 0.2500], [0.0000, 0.2564, 0.7500], [0.5000, 0.7483, 0.4879], [0.0000, 0.3088, 0.2500], [0.0000, 0.9550, 0.9592], [0.0000, 0.9550, 0.5408]],
  "ef_mev_per_atom": 353,
  "polymorph_energy_mev_per_atom": 202,
  "n_ef_per_ev_cell": 1.84,
  "sg": "Pmm2"
}


Going through the records in order, we get total moment values of 0.00 0.00 0.00 0.00 0.00 0.00 μB per formula unit.